# 1
An optimized crystal structure of Cs2NaAlF6. Source: the Alexandria database, functional PBE.

- raw formation energy (eV/f.u.) = -31.7
- total magnetization (μB/f.u.) = 0.056

abc: 10.741 10.741 10.741
angles: 33.93 33.93 33.93
Atoms (fractional coordinates):
1 F 0.309 0.900 0.900
2 F 0.254 0.675 0.675
3 Cs 0.219 0.219 0.219
4 F 0.675 0.675 0.254
5 Cs 0.628 0.628 0.628
6 F 0.325 0.746 0.325
7 F 0.691 0.100 0.100
8 Na 0.098 0.098 0.098
9 Al 0.500 0.500 0.500
10 Cs 0.781 0.781 0.781
11 F 0.675 0.254 0.675
12 Na 0.902 0.902 0.902
13 Cs 0.372 0.372 0.372
14 F 0.325 0.325 0.746
15 F 0.100 0.100 0.691
16 F 0.746 0.325 0.325
17 F 0.100 0.691 0.100
18 Al 0.000 0.000 0.000
19 F 0.900 0.309 0.900
20 F 0.900 0.900 0.309

=====

# 2
An optimized crystal structure of Cs2NaAlF6. Source: the Alexandria database, functional PBE.

- raw formation energy (eV/f.u.) = -31.5
- total magnetization (μB/f.u.) = 0.000

abc: 6.177 6.177 6.177
angles: 60.00 60.00 60.00
Atoms (fractional coordinates):
1 Cs 0.250 0.250 0.250
2 F 0.787 0.213 0.787
3 Na 0.500 0.500 0.500
4 F 0.213 0.787 0.787
5 F 0.213 0.787 0.213
6 F 0.213 0.213 0.787
7 F 0.787 0.213 0.213
8 F 0.787 0.787 0.213
9 Cs 0.750 0.750 0.750
10 Al 0.000 0.000 0.000